A relaxed structure of KTlPb2Br8, computed with PBE. Values from VASP.

```
&SYSTEM
  ibrav = 0, nat = 12, ntyp = 4
/
ATOMIC_SPECIES
K 39.10 K.upf
Tl 204.38 Tl.upf
Pb 207.20 Pb.upf
Br 79.90 Br.upf
ATOMIC_POSITIONS angstrom
K 0.003 0.008 4.587
Tl 0.000 0.000 0.000
Pb 3.663 3.459 6.909
Pb 3.656 3.453 2.256
Br 1.147 5.195 1.995
Br 4.922 5.286 9.165
Br 6.163 1.702 1.989
Br 6.172 1.718 7.170
Br 2.397 1.627 0.000
Br 1.156 5.210 7.177
Br 4.685 5.018 4.580
Br 2.634 1.894 4.585
CELL_PARAMETERS angstrom
7.213 0.049 -0.005
0.100 6.847 -0.004
0.006 0.016 9.174
```

Crystal system: triclinic
Raw formation energy (meV per atom): -876

---

A relaxed structure of KNd2DyTe4, computed with PBE. Values from VASP.

```
&SYSTEM
  ibrav = 0, nat = 8, ntyp = 4
/
ATOMIC_SPECIES
K 39.10 K.upf
Nd 144.24 Nd.upf
Dy 162.50 Dy.upf
Te 127.60 Te.upf
ATOMIC_POSITIONS angstrom
K -0.341 -4.522 -0.026
Nd -7.330 -1.647 2.466
Nd -4.073 -1.887 -0.690
Dy -3.598 -4.283 3.130
Te -5.292 -6.440 4.682
Te -2.720 -4.251 -2.268
Te -2.224 -6.648 1.548
Te -5.788 -4.044 0.866
CELL_PARAMETERS angstrom
-0.816 -2.126 -3.847
0.135 -6.919 3.795
-7.330 -1.647 2.466
```

Crystal system: monoclinic
Raw formation energy (meV per atom): -1347

---

A relaxed structure of MoOs3, computed with PBE. Values from VASP.

```
&SYSTEM
  ibrav = 0, nat = 4, ntyp = 2
/
ATOMIC_SPECIES
Mo 95.94 Mo.upf
Os 190.23 Os.upf
ATOMIC_POSITIONS angstrom
Mo 0.000 0.000 0.000
Os 0.000 0.000 3.921
Os 1.360 1.381 2.015
Os 1.360 1.381 5.827
CELL_PARAMETERS angstrom
2.741 0.021 0.000
-0.020 2.741 0.000
0.000 0.000 7.841
```

Crystal system: tetragonal
Energy of formation (meV/atom): 114

---

VASP energy readings, ordered: -34.8; -38.6; -44.1 eV for the cell shown